! La5TbTm2, relaxed, DFT PBE; values from VASP
! Total magnetization   0.00 μB per formula unit
! Energy above the most stable polymorph in this dataset   1.98 kcal/mol of atoms
! ΔE_f   218 meV per atom
&SYSTEM
  ibrav = 0, nat = 16, ntyp = 3
/
ATOMIC_SPECIES
La 138.91 La.upf
Tb 158.93 Tb.upf
Tm 168.93 Tm.upf
ATOMIC_POSITIONS crystal
La 0.044 0.334 0.939
La 0.196 0.804 0.750
La 0.286 0.394 0.589
La 0.334 0.044 0.439
La 0.394 0.286 0.089
La 0.606 0.714 0.911
La 0.666 0.956 0.561
La 0.714 0.606 0.411
La 0.804 0.196 0.250
La 0.956 0.666 0.061
Tb 0.340 0.660 0.250
Tb 0.660 0.340 0.750
Tm 0.000 0.000 0.000
Tm 0.000 0.000 0.500
Tm 0.000 0.500 0.500
Tm 0.500 0.000 0.000
CELL_PARAMETERS angstrom
6.520 -8.110 0.000
6.520 8.110 0.000
-2.837 0.000 5.387